Entry 1:
Here is a relaxed MgRuSe crystal from Alexandria via LeMat-Bulk. Energies are from PBE-GGA.

Summary:
ΔE_f (raw) = -0.2235 eV/atom
ΔE to the lowest computed polymorph = 0.0000 eV per atom
uncorrected energy = -5.009 eV per atom
volume = 107 Å³ per cell

a b c (Å): 4.2076 4.2076 6.0163
angles (deg): 90.00 90.00 90.00
Atoms (fractional coordinates):
Mg1 0.2500 0.2500 0.1926
Mg2 0.7500 0.7500 0.8074
Ru1 0.2500 0.7500 0.5000
Ru2 0.7500 0.2500 0.5000
Se1 0.2500 0.2500 0.7438
Se2 0.7500 0.7500 0.2562

=====

Entry 2:
Here is a relaxed Ba2Na2Ag crystal from Alexandria via LeMat-Bulk. Energies are from PBE-GGA.

Summary:
ΔE_f = -3.5 kJ per mole of atoms
ΔE to the lowest computed polymorph = 0.0000 eV per atom
uncorrected energy = -1.904 eV per atom
volume = 457 Å³ per cell

a b c (Å): 7.3419 4.3640 14.2750
angles (deg): 90.00 90.00 90.00
Atoms (fractional coordinates):
Ba1 0.0000 0.0000 0.0000
Ba2 0.2500 0.0000 0.3115
Ba3 0.5000 0.0000 0.0000
Ba4 0.7500 0.0000 0.6885
Na1 0.2500 0.5000 0.5559
Na2 0.2500 0.5000 0.7951
Na3 0.7500 0.5000 0.2049
Na4 0.7500 0.5000 0.4441
Ag1 0.2500 0.5000 0.1340
Ag2 0.7500 0.5000 0.8660

=====

Entry 3:
Here is a relaxed La2Co2Os crystal from Alexandria via LeMat-Bulk. Energies are from PBE-GGA.

Summary:
ΔE_f = 11.5 kJ per mole of atoms
uncorrected energy = -6.940 eV per atom
volume = 196 Å³ per cell

a b c (Å): 6.6382 6.6382 4.4515
angles (deg): 90.00 90.00 90.00
Atoms (fractional coordinates):
La1 0.1845 0.3155 0.0000
La2 0.3155 0.8155 0.0000
La3 0.6845 0.1845 0.0000
La4 0.8155 0.6845 0.0000
Co1 0.1325 0.6325 0.5000
Co2 0.3675 0.1325 0.5000
Co3 0.6325 0.8675 0.5000
Co4 0.8675 0.3675 0.5000
Os1 0.0000 0.0000 0.5000
Os2 0.5000 0.5000 0.5000